# 1
SCAN HfCuOs3, PBEsol geometry; DFT formation energy = 59.7 kcal/mol of atoms; V = 20.90 Å³/atom; SG = Pm-3m, No. 221
1.0
4.711 0.000 0.000
0.000 4.711 0.000
0.000 0.000 4.711
Hf Cu Os
1 1 3
Direct
0.000 0.000 0.000 Hf
0.500 0.500 0.500 Cu
0.000 0.000 0.500 Os
0.000 0.500 0.000 Os
0.500 0.000 0.000 Os

=====

# 2
SCAN SrLa2W, PBEsol geometry; DFT formation energy = 19.1 kcal/mol of atoms; V = 28.91 Å³/atom; SG = Cmm2, No. 35
1.0
1.854 -2.738 0.000
1.854 2.738 0.000
0.000 0.000 11.389
Sr La W
1 2 1
Direct
0.000 0.000 0.000 Sr
0.000 0.000 0.597 La
0.500 0.500 0.304 La
0.500 0.500 0.778 W

=====

# 3
SCAN Li12W7O28, PBEsol geometry; formation energy (no corrections) = -2.26 eV/atom; V = 12.31 Å³/atom; SG = P-43m, No. 215
1.0
8.333 0.000 0.000
0.000 8.333 0.000
0.000 0.000 8.333
Li W O
12 7 28
Direct
0.095 0.356 0.644 Li
0.095 0.644 0.356 Li
0.356 0.095 0.644 Li
0.356 0.356 0.905 Li
0.356 0.644 0.095 Li
0.356 0.905 0.356 Li
0.644 0.095 0.356 Li
0.644 0.356 0.095 Li
0.644 0.644 0.905 Li
0.644 0.905 0.644 Li
0.905 0.356 0.356 Li
0.905 0.644 0.644 Li
0.000 0.000 0.500 W
0.000 0.500 0.000 W
0.358 0.358 0.358 W
0.358 0.642 0.642 W
0.500 0.000 0.000 W
0.642 0.358 0.642 W
0.642 0.642 0.358 W
0.125 0.125 0.622 O
0.125 0.378 0.875 O
0.125 0.622 0.125 O
0.125 0.875 0.378 O
0.145 0.385 0.385 O
0.145 0.615 0.615 O
0.378 0.125 0.875 O
0.378 0.875 0.125 O
0.385 0.145 0.385 O
0.385 0.385 0.145 O
0.385 0.615 0.855 O
0.385 0.855 0.615 O
0.391 0.391 0.609 O
0.391 0.609 0.391 O
0.609 0.391 0.391 O
0.609 0.609 0.609 O
0.615 0.145 0.615 O
0.615 0.385 0.855 O
0.615 0.615 0.145 O
0.615 0.855 0.385 O
0.622 0.125 0.125 O
0.622 0.875 0.875 O
0.855 0.385 0.615 O
0.855 0.615 0.385 O
0.875 0.125 0.378 O
0.875 0.378 0.125 O
0.875 0.622 0.875 O
0.875 0.875 0.622 O

=====

# 4
SCAN TeSeBr2, PBEsol geometry; formation energy (no corrections) = 0.10 eV/atom; V = 30.26 Å³/atom; SG = Cmm2, No. 35
1.0
2.097 -3.730 0.000
2.097 3.730 0.000
0.000 0.000 7.740
Te Se Br
1 1 2
Direct
0.000 0.000 0.000 Te
0.500 0.500 0.786 Se
0.000 0.000 0.552 Br
0.500 0.500 0.254 Br

=====

# 5
SCAN InBCl2, PBEsol geometry; formation energy (no corrections) = 0.19 eV/atom; V = 21.41 Å³/atom; SG = R-3m, No. 166
1.0
1.610 0.930 9.535
-1.610 0.930 9.535
0.000 -1.859 9.535
In B Cl
1 1 2
Direct
0.000 0.000 0.000 In
0.500 0.500 0.500 B
0.441 0.441 0.441 Cl
0.559 0.559 0.559 Cl

=====

# 6
SCAN ZnHW3, PBEsol geometry; total energy = -44.827 eV/atom; V = 12.51 Å³/atom; SG = Pm-3m, No. 221
1.0
3.970 0.000 0.000
0.000 3.970 0.000
0.000 0.000 3.970
Zn H W
1 1 3
Direct
0.000 0.000 0.000 Zn
0.500 0.500 0.500 H
0.000 0.500 0.500 W
0.500 0.000 0.500 W
0.500 0.500 0.000 W

=====

# 7
SCAN CsPbO2, PBEsol geometry; formation energy (no corrections) = -1.19 eV/atom; V = 24.16 Å³/atom; SG = I-42d, No. 122
1.0
-3.237 3.237 4.614
3.237 -3.237 4.614
3.237 3.237 -4.614
Cs Pb O
2 2 4
Direct
0.000 0.000 0.000 Cs
0.750 0.250 0.500 Cs
0.250 0.750 0.500 Pb
0.500 0.500 0.000 Pb
0.233 0.125 0.608 O
0.375 0.767 0.892 O
0.517 0.625 0.392 O
0.875 0.483 0.108 O

=====

# 8
SCAN RbHgO2F, PBEsol geometry; formation energy (no corrections) = 0.43 eV/atom; V = 18.13 Å³/atom; SG = P4/mmm, No. 123
1.0
4.329 0.000 0.000
0.000 4.329 0.000
0.000 0.000 4.837
Rb Hg O F
1 1 2 1
Direct
0.000 0.000 0.000 Rb
0.500 0.500 0.500 Hg
0.000 0.500 0.000 O
0.500 0.000 0.000 O
0.000 0.000 0.500 F

=====

# 9
SCAN Ho3Ga4Cu2, PBEsol geometry; DFT formation energy = -14.7 kcal/mol of atoms; V = 18.77 Å³/atom; SG = P3m1, No. 156
1.0
4.243 0.000 0.000
-2.121 3.674 0.000
0.000 0.000 21.676
Ho Ga Cu
6 8 4
Direct
0.000 0.000 0.000 Ho
0.000 0.000 0.155 Ho
0.000 0.000 0.334 Ho
0.000 0.000 0.490 Ho
0.000 0.000 0.666 Ho
0.000 0.000 0.821 Ho
0.333 0.667 0.234 Ga
0.333 0.667 0.564 Ga
0.333 0.667 0.895 Ga
0.667 0.333 0.261 Ga
0.667 0.333 0.408 Ga
0.667 0.333 0.592 Ga
0.667 0.333 0.738 Ga
0.667 0.333 0.923 Ga
0.333 0.667 0.083 Cu
0.333 0.667 0.423 Cu
0.333 0.667 0.753 Cu
0.667 0.333 0.072 Cu

=====

# 10
SCAN KNiSb2, PBEsol geometry; formation energy (no corrections) = -0.09 eV/atom; V = 23.43 Å³/atom; SG = Cmmm, No. 65
1.0
2.130 -2.618 0.000
2.130 2.618 0.000
0.000 0.000 8.404
K Ni Sb
1 1 2
Direct
0.000 0.000 0.000 K
0.000 0.000 0.500 Ni
0.500 0.500 0.323 Sb
0.500 0.500 0.677 Sb

=====

# 11
SCAN CsBaHf2Hg, PBEsol geometry; DFT formation energy = 41.3 kcal/mol of atoms; V = 39.24 Å³/atom; SG = P4/mmm, No. 123
1.0
5.450 0.000 0.000
0.000 5.450 0.000
0.000 0.000 6.606
Cs Ba Hf Hg
1 1 2 1
Direct
0.000 0.000 0.000 Cs
0.000 0.000 0.500 Ba
0.000 0.500 0.500 Hf
0.500 0.000 0.500 Hf
0.500 0.500 0.000 Hg

=====

# 12
SCAN FePt2, PBEsol geometry; DFT formation energy = -2.8 kcal/mol of atoms; V = 14.56 Å³/atom; SG = P6/mmm, No. 191
1.0
4.359 0.000 0.000
-2.179 3.775 0.000
0.000 0.000 2.655
Fe Pt
1 2
Direct
0.000 0.000 0.000 Fe
0.333 0.667 0.500 Pt
0.667 0.333 0.500 Pt

=====

- V of number 3 (Li12W7O28)?
  12.31 Å³/atom